The following is a DFT calculation (PBE) of a relaxed structure of LaHfZr3.

POSCAR file:
```
LaHfZr3
1.0
5.293 0.000 0.000
0.000 5.293 0.000
0.000 0.000 5.293
La Hf Zr
1 1 3
Cartesian
0.000 0.000 0.000 La
2.646 2.646 2.646 Hf
0.000 2.646 2.646 Zr
2.646 0.000 2.646 Zr
2.646 2.646 0.000 Zr
```

Summary:
Total moment   0.00 μB per cell
Energy of formation from the pure elements   0.75 eV/atom
Crystal system   cubic
Energy above the lowest structure with this stoichiometry   0 meV/atom
D(E_F)   2.02 states/eV per atom